No. 1
First-principles (PBEsol) data for a relaxed SrTlCd2 crystal, as listed in Alexandria. Values from VASP.

Results
- Space group: Pmmm, No. 47
- Formation enthalpy at 0 K: -4.78 kcal/mol of atoms
- Volume: 107.5 Å³/cell
- Density: 8.0 Mg/m³

Geometry as Quantum ESPRESSO input:
```
&SYSTEM
  ibrav = 0, nat = 4, ntyp = 3
/
ATOMIC_SPECIES
Sr 87.62 Sr.upf
Tl 204.38 Tl.upf
Cd 112.41 Cd.upf
ATOMIC_POSITIONS crystal
Sr 0.0000 0.0000 0.0000
Tl 0.5000 0.5000 0.0000
Cd 0.0000 0.5000 0.5000
Cd 0.5000 0.0000 0.5000
CELL_PARAMETERS angstrom
4.6159 0.0000 0.0000
0.0000 4.7911 0.0000
0.0000 0.0000 4.8608
```

No. 2
First-principles (PBEsol) data for a relaxed TlRuSe crystal, as listed in Alexandria. Values from VASP.

Results
- Space group: F-43m, No. 216
- Volume: 61.1 Å³/cell
- Density: 10.5 Mg/m³
- Raw formation energy: 39 kJ per mole of atoms

Geometry as Quantum ESPRESSO input:
```
&SYSTEM
  ibrav = 0, nat = 3, ntyp = 3
/
ATOMIC_SPECIES
Tl 204.38 Tl.upf
Ru 101.07 Ru.upf
Se 78.96 Se.upf
ATOMIC_POSITIONS crystal
Tl 0.0000 0.0000 0.0000
Ru 0.2500 0.2500 0.2500
Se 0.5000 0.5000 0.5000
CELL_PARAMETERS angstrom
0.0000 3.1258 3.1258
3.1258 0.0000 3.1258
3.1258 3.1258 0.0000
```

Number 1: final energy -7.69 eV per cell, DOS(E_F) 2.76 states/eV/f.u.. Number 2: final energy -15.43 eV per cell, DOS(E_F) 3.41 states/eV/f.u..